(1)
The following is a DFT calculation (PBE-GGA) of an optimized crystal structure of Li3ZrN.

density of states at the Fermi level: 2.71 states/eV/f.u.
total moment: 0.26 μB/atom
E_form (uncorrected): 0.368 eV per atom
offset from the most stable computed form: 0 meV/atom

Lattice parameters (Å, degrees): 4.029 4.029 4.029 90.00 90.00 90.00
Each line ends with the local moment (μB).
Atoms (fractional coordinates):
1 Li 0.000 0.500 0.000  0.01
2 Li 0.000 0.000 0.500  0.02
3 Li 0.500 0.000 0.000  0.01
4 Zr 0.500 0.500 0.500  0.71
5 N 0.000 0.000 0.000  -0.07

(2)
The following is a DFT calculation (PBE-GGA) of an optimized crystal structure of Na5Li3.

ΔH_f (0 K): 0.05 eV/atom
density of states at the Fermi level: 2.51 states/eV/f.u.
total moment: 0.00 μB/atom

Lattice parameters (Å, degrees): 3.402 3.402 21.005 90.00 90.00 90.00
Atoms (fractional coordinates):
1 Na 0.000 0.000 0.238
2 Na 0.500 0.500 0.618
3 Na 0.500 0.500 0.382
4 Na 0.000 0.000 0.762
5 Na 0.000 0.000 0.000
6 Li 0.500 0.500 0.121
7 Li 0.500 0.500 0.879
8 Li 0.000 0.000 0.500

(3)
The following is a DFT calculation (PBE-GGA) of an optimized crystal structure of Na3Li2.

ΔH_f (0 K): 0.11 eV/atom
density of states at the Fermi level: 2.18 states/eV/f.u.
total moment: 0.00 μB/atom
offset from the most stable computed form: 55 meV/atom

Lattice parameters (Å, degrees): 6.754 6.754 8.973 67.89 67.89 60.00
Atoms (fractional coordinates):
1 Na 0.247 0.750 0.750
2 Na 0.750 0.253 0.750
3 Na 0.253 0.247 0.750
4 Na 0.250 0.747 0.250
5 Na 0.747 0.753 0.250
6 Na 0.753 0.250 0.250
7 Li 0.808 0.808 0.575
8 Li 0.308 0.308 0.075
9 Li 0.192 0.192 0.425
10 Li 0.692 0.692 0.925